SrHo2SnN4 PBE optimized geometry; crystal system = orthorhombic; E = -111.1 eV per cell; raw formation energy = -7.4 eV/f.u.; ρ = 7.638 g/cm3; space-group type = Cmcm
1.0
3.480 0.000 0.000
-1.740 6.049 0.000
0.000 0.000 12.235
N Sn Ho Sr
8 2 4 2
Cartesian
1.740 2.940 7.513
0.000 3.108 1.395
1.740 2.940 10.841
0.000 0.000 6.118
0.000 3.108 4.723
0.000 5.347 9.177
0.000 0.000 0.000
1.740 0.702 3.059
0.000 1.910 3.059
1.740 4.138 9.177
1.740 1.567 5.738
1.740 1.567 0.380
0.000 4.482 11.856
0.000 4.482 6.497
0.000 1.302 9.177
1.740 4.747 3.059

Tb2HoSnN4 PBE optimized geometry; crystal system = monoclinic; density of states at the Fermi level = 4.35 states/eV/f.u.; E = -59.7 eV per cell; raw formation energy = -8.5 eV/f.u.; ρ = 9.213 g/cm3; space-group type = P2/m
1.0
3.478 0.000 0.000
0.000 6.026 0.100
0.000 -2.114 5.620
N Ho Tb Sn
4 1 2 1
Cartesian
0.000 -0.038 4.230
1.739 1.008 1.450
0.000 3.950 1.490
1.739 2.904 4.270
1.739 3.013 0.050
1.739 -1.057 2.810
0.000 1.956 2.860
0.000 0.000 0.000

Ho2TmSnN4 PBE optimized geometry; crystal system = monoclinic; density of states at the Fermi level = 4.22 states/eV/f.u.; E = -59.9 eV per cell; raw formation energy = -9.0 eV/f.u.; ρ = 9.748 g/cm3; space-group type = P2/m
1.0
3.438 0.000 0.000
0.000 5.961 0.104
0.000 -2.087 5.563
Ho N Tm Sn
2 4 1 1
Cartesian
0.000 1.937 2.833
1.719 -1.043 2.782
0.000 3.908 1.478
1.719 1.004 1.445
1.719 2.870 4.222
0.000 -0.034 4.189
1.719 2.980 0.052
0.000 0.000 0.000

Sr2HoTaN4 PBE optimized geometry; crystal system = orthorhombic; density of states at the Fermi level = 0.16 states/eV/f.u.; E = -124.0 eV per cell; raw formation energy = -8.9 eV/f.u.; ρ = 8.090 g/cm3; space-group type = Imma
1.0
6.949 -0.009 -0.116
-0.014 6.949 -0.116
-3.500 -3.503 5.023
Ta N Ho Sr
2 8 2 4
Cartesian
3.435 3.437 4.790
1.717 1.719 2.395
3.347 3.262 2.551
0.088 0.176 2.240
3.292 0.267 2.480
5.497 1.564 -0.032
1.893 1.807 4.635
0.144 3.170 2.311
1.542 1.630 0.155
-2.062 1.874 4.823
5.192 1.714 2.337
-3.507 -0.028 4.965
3.475 -0.005 -0.058
3.468 3.470 -0.116
5.199 -1.761 2.395
1.725 -1.756 2.453

SrHo2TaN4 PBE optimized geometry; crystal system = orthorhombic; density of states at the Fermi level = 2.85 states/eV/f.u.; E = -132.6 eV per cell; raw formation energy = -10.3 eV/f.u.; ρ = 8.537 g/cm3; space-group type = Cmcm
1.0
3.443 0.000 0.000
-1.721 6.097 0.000
0.000 0.000 12.129
N Ho Ta Sr
8 4 2 2
Cartesian
0.000 0.000 6.065
0.000 3.141 1.443
1.721 2.956 7.508
0.000 5.165 9.097
1.721 2.956 10.686
1.721 0.932 3.032
0.000 3.141 4.622
0.000 0.000 0.000
1.721 1.568 5.660
0.000 4.529 6.470
1.721 1.568 0.405
0.000 4.529 11.724
0.000 2.033 3.032
1.721 4.064 9.097
0.000 1.197 9.097
1.721 4.900 3.032

SrHo2TcN4 PBE optimized geometry; crystal system = orthorhombic; density of states at the Fermi level = 3.59 states/eV/f.u.; E = -125.2 eV per cell; raw formation energy = -8.1 eV/f.u.; ρ = 7.644 g/cm3; space-group type = Cmcm
1.0
3.430 0.000 0.000
-1.715 6.023 0.000
0.000 0.000 12.019
Ho N Sr Tc
4 8 2 2
Cartesian
0.000 4.476 6.509
1.715 1.547 5.510
1.715 1.547 0.500
0.000 4.476 11.519
0.000 3.125 1.342
0.000 3.125 4.667
0.000 4.894 9.014
1.715 1.129 3.005
1.715 2.898 10.677
0.000 0.000 0.000
0.000 0.000 6.010
1.715 2.898 7.352
1.715 5.169 3.005
0.000 0.854 9.014
1.715 3.755 9.014
0.000 2.268 3.005

SrHo2TiN4 PBE optimized geometry; crystal system = orthorhombic; density of states at the Fermi level = 0.00 states/eV/f.u.; E = -127.8 eV per cell; raw formation energy = -11.9 eV/f.u.; ρ = 7.044 g/cm3; space-group type = Cmcm
1.0
3.465 0.000 0.000
-1.732 5.977 0.000
0.000 0.000 11.871
N Ho Ti Sr
8 4 2 2
Cartesian
0.000 3.082 4.508
0.000 0.000 0.000
1.732 2.895 10.444
1.732 2.895 7.362
0.000 3.082 1.427
0.000 4.976 8.903
1.732 1.001 2.968
0.000 0.000 5.935
1.732 1.545 0.451
0.000 4.432 11.420
1.732 1.545 5.485
0.000 4.432 6.386
1.732 3.975 8.903
0.000 2.002 2.968
1.732 4.765 2.968
0.000 1.212 8.903

Sr2HoUN4 PBE optimized geometry; crystal system = monoclinic; density of states at the Fermi level = 3.28 states/eV/f.u.; E = -62.8 eV per cell; raw formation energy = -10.2 eV/f.u.; ρ = 8.068 g/cm3; space-group type = P2/m
1.0
3.591 0.000 0.000
0.000 6.073 0.109
0.000 -2.120 5.948
N Ho Sr U
4 1 2 1
Cartesian
0.000 4.191 1.265
0.000 -0.239 4.792
1.795 3.035 4.842
1.795 0.918 1.215
1.795 3.036 0.055
1.795 -1.060 2.974
0.000 1.976 3.029
0.000 0.000 0.000